# WSeNF2, optimized geometry, DFT GGA+U
# Offset from the most stable computed form in eV per formula unit: 5.840
# Calculated volume in Å³/f.u.: 79.6
# VASP energy in eV/atom: -3.963
# DOS(E_F) in states/eV per cell: 4.46
data_WSeNF2
_chemical_formula_sum 'W1 Se1 N1 F2'
_cell_length_a 4.658
_cell_length_b 4.658
_cell_length_c 3.671
_cell_angle_alpha 90.00
_cell_angle_beta 90.00
_cell_angle_gamma 90.00
_symmetry_space_group_name_H-M 'P 4/m m m'
_symmetry_Int_Tables_number 123
_symmetry_space_group_name_Hall '-P 4 2'
loop_
_atom_site_label
_atom_site_type_symbol
_atom_site_fract_x
_atom_site_fract_y
_atom_site_fract_z
W1 W 0.000 0.000 0.000
Se1 Se 0.500 0.500 0.500
N1 N 0.500 0.500 0.000
F1 F 0.000 0.500 0.500